Entry 1:
A relaxed structure of TbEr8Th2, computed with PBE-GGA.

```
data_TbEr8Th2
_cell_length_a 8.930
_cell_length_b 8.930
_cell_length_c 6.587
_cell_angle_alpha 99.03
_cell_angle_beta 99.03
_cell_angle_gamma 42.88
_space_group_name_H-M_alt 'P 1'
_space_group_IT_number 1
loop_
_space_group_symop_operation_xyz
'x,y,z'
loop_
_atom_site_label
_atom_site_fract_x
_atom_site_fract_y
_atom_site_fract_z
_atom_site_occupancy
Tb1 0.000 0.000 0.000 1
Er1 0.173 0.653 0.596 1
Er2 0.200 0.200 0.816 1
Er3 0.347 0.827 0.404 1
Er4 0.410 0.410 0.096 1
Er5 0.590 0.590 0.904 1
Er6 0.653 0.173 0.596 1
Er7 0.800 0.800 0.184 1
Er8 0.827 0.347 0.404 1
Th1 0.248 0.248 0.335 1
Th2 0.752 0.752 0.665 1
```

Output
Energy relative to the lowest polymorph listed for this composition in kJ per mole of atoms: 0.00
ΔH_f (0 K) in eV/atom: 0.187
Crystal system: monoclinic

Entry 2:
A relaxed structure of SrTa2GaGe, computed with PBE-GGA.

```
data_SrTa2GaGe
_cell_length_a 4.923
_cell_length_b 4.923
_cell_length_c 5.064
_cell_angle_alpha 90.00
_cell_angle_beta 90.00
_cell_angle_gamma 90.00
_space_group_name_H-M_alt 'P 1'
_space_group_IT_number 1
loop_
_space_group_symop_operation_xyz
'x,y,z'
loop_
_atom_site_label
_atom_site_fract_x
_atom_site_fract_y
_atom_site_fract_z
_atom_site_occupancy
Sr1 0.000 0.000 0.000 1
Ta1 0.000 0.500 0.500 1
Ta2 0.500 0.000 0.500 1
Ga1 0.500 0.500 0.000 1
Ge1 0.500 0.500 0.500 1
```

Output
ΔH_f (0 K) in eV/atom: 0.852
Crystal system: tetragonal

Entry 3:
A relaxed structure of Na5Cd2In5, computed with PBE-GGA.

```
data_Na5Cd2In5
_cell_length_a 7.567
_cell_length_b 7.567
_cell_length_c 9.460
_cell_angle_alpha 90.21
_cell_angle_beta 90.21
_cell_angle_gamma 35.97
_space_group_name_H-M_alt 'P 1'
_space_group_IT_number 1
loop_
_space_group_symop_operation_xyz
'x,y,z'
loop_
_atom_site_label
_atom_site_fract_x
_atom_site_fract_y
_atom_site_fract_z
_atom_site_occupancy
Na1 0.000 0.000 0.000 1
Na2 0.333 0.333 0.502 1
Na3 0.499 0.499 0.248 1
Na4 0.501 0.501 0.752 1
Na5 0.667 0.667 0.498 1
Cd1 0.169 0.169 0.755 1
Cd2 0.831 0.831 0.245 1
In1 0.000 0.000 0.500 1
In2 0.177 0.177 0.237 1
In3 0.332 0.332 0.998 1
In4 0.668 0.668 0.002 1
In5 0.823 0.823 0.763 1
```

Output
ΔH_f (0 K) in eV/atom: -0.092
Crystal system: monoclinic

Entry 4:
A relaxed structure of RbPaAgF6, computed with PBE-GGA.

```
data_RbPaAgF6
_cell_length_a 6.902
_cell_length_b 6.902
_cell_length_c 8.794
_cell_angle_alpha 90.00
_cell_angle_beta 90.00
_cell_angle_gamma 120.00
_space_group_name_H-M_alt 'P 1'
_space_group_IT_number 1
loop_
_space_group_symop_operation_xyz
'x,y,z'
loop_
_atom_site_label
_atom_site_fract_x
_atom_site_fract_y
_atom_site_fract_z
_atom_site_occupancy
Rb1 0.333 0.667 0.250 1
Rb2 0.667 0.333 0.750 1
Pa1 0.333 0.667 0.750 1
Pa2 0.667 0.333 0.250 1
Ag1 0.000 0.000 0.000 1
Ag2 0.000 0.000 0.500 1
F1 0.075 0.394 0.615 1
F2 0.075 0.680 0.885 1
F3 0.320 0.394 0.885 1
F4 0.320 0.925 0.615 1
F5 0.394 0.075 0.115 1
F6 0.394 0.320 0.385 1
F7 0.606 0.680 0.615 1
F8 0.606 0.925 0.885 1
F9 0.680 0.075 0.385 1
F10 0.680 0.606 0.115 1
F11 0.925 0.320 0.115 1
F12 0.925 0.606 0.385 1
```

Output
Crystal system: trigonal
E in eV per atom: -5.680